No. 1
Ce2TaGaN5, relaxed, DFT PBE-GGA; space-group type = Cmc2_1 (36)
1.0
-2.0553 -2.1668 1.3448
6.3629 -2.3124 2.0101
-0.5635 5.7404 8.3877
Ce Ta Ga N
4 2 2 10
Direct
0.8687 0.7374 0.7860
0.1193 0.2386 0.7053
0.1313 0.2626 0.2860
0.8807 0.7614 0.2053
0.7818 0.5636 0.5034
0.2182 0.4364 0.0034
0.5121 0.0241 0.9780
0.4879 0.9759 0.4780
0.3637 0.7273 0.0083
0.7032 0.4065 0.8671
0.4991 0.9982 0.7838
0.2843 0.5686 0.6454
0.9377 0.8755 0.5468
0.6363 0.2727 0.5083
0.2968 0.5935 0.3671
0.5009 0.0018 0.2838
0.7157 0.4314 0.1454
0.0623 0.1245 0.0468


No. 2
Ce2ThGaN5, relaxed, DFT PBE-GGA; space-group type = Cmc2_1 (36)
1.0
3.4191 0.0000 0.0000
-1.7095 8.2026 0.0000
0.0000 0.0000 9.4968
Ce Th Ga N
4 2 2 10
Direct
0.8977 0.7954 0.7970
0.0942 0.1884 0.6755
0.1023 0.2046 0.2970
0.9058 0.8116 0.1755
0.7835 0.5671 0.5008
0.2165 0.4329 0.0008
0.5486 0.0972 0.9628
0.4514 0.9028 0.4628
0.3636 0.7272 0.0177
0.6587 0.3174 0.8563
0.4944 0.9889 0.7794
0.3129 0.6258 0.6789
0.9605 0.9210 0.5555
0.6364 0.2728 0.5177
0.3413 0.6826 0.3563
0.5056 0.0111 0.2794
0.6871 0.3742 0.1789
0.0395 0.0790 0.0555


No. 3
Ce2TiGaN5, relaxed, DFT PBE-GGA; space-group type = Cmc2_1 (36)
1.0
3.2846 0.0000 0.0000
-1.6423 6.7696 0.0000
0.0000 0.0000 9.9864
Ce Ti Ga N
4 2 2 10
Direct
0.8676 0.7351 0.7875
0.1193 0.2386 0.6976
0.1324 0.2649 0.2875
0.8807 0.7614 0.1976
0.7827 0.5654 0.5012
0.2173 0.4346 0.0012
0.5185 0.0370 0.9772
0.4815 0.9630 0.4772
0.3626 0.7253 0.0082
0.7024 0.4047 0.8695
0.4996 0.9993 0.7818
0.2840 0.5680 0.6487
0.9384 0.8767 0.5523
0.6374 0.2747 0.5082
0.2976 0.5953 0.3695
0.5004 0.0007 0.2818
0.7160 0.4320 0.1487
0.0616 0.1233 0.0523


No. 4
Ce2UGaN5, relaxed, DFT PBE-GGA; space-group type = Cmc2_1 (36)
1.0
3.4453 0.0000 0.0000
-1.7227 6.9885 0.0000
0.0000 0.0000 10.3618
Ce U Ga N
4 2 2 10
Direct
0.8716 0.7431 0.7949
0.1111 0.2222 0.6947
0.1284 0.2569 0.2949
0.8889 0.7778 0.1947
0.7911 0.5822 0.5054
0.2089 0.4178 0.0054
0.5093 0.0185 0.9736
0.4907 0.9815 0.4736
0.3644 0.7287 0.0102
0.7017 0.4034 0.8707
0.4953 0.9907 0.7843
0.2848 0.5697 0.6419
0.9496 0.8991 0.5482
0.6356 0.2713 0.5102
0.2983 0.5966 0.3707
0.5047 0.0093 0.2843
0.7152 0.4303 0.1419
0.0504 0.1009 0.0482


No. 5
Ce2GaWN5, relaxed, DFT PBE-GGA; space-group type = Cmc2_1 (36)
1.0
-2.5437 -0.6697 -1.9218
2.6629 -6.4061 1.4688
-5.9469 -0.6179 8.0867
Ce Ga W N
4 2 2 10
Direct
0.8684 0.7368 0.7814
0.1212 0.2423 0.7170
0.1316 0.2632 0.2814
0.8788 0.7577 0.2170
0.5118 0.0237 0.9781
0.4882 0.9763 0.4781
0.7769 0.5537 0.5054
0.2231 0.4463 0.0054
0.3638 0.7277 0.0069
0.7043 0.4086 0.8707
0.5006 0.0012 0.7808
0.2844 0.5688 0.6439
0.9333 0.8667 0.5398
0.6362 0.2723 0.5069
0.2957 0.5914 0.3707
0.4994 0.9988 0.2808
0.7156 0.4312 0.1439
0.0667 0.1333 0.0398


No. 6
Ce2ZrGaN5, relaxed, DFT PBE-GGA; space-group type = Cmc2_1 (36)
1.0
3.3544 0.0000 0.0000
-1.6772 6.8723 0.0000
0.0000 0.0000 10.2945
Ce Zr Ga N
4 2 2 10
Direct
0.8709 0.7418 0.7848
0.1194 0.2389 0.6922
0.1291 0.2582 0.2848
0.8806 0.7611 0.1922
0.7888 0.5776 0.4979
0.2112 0.4224 0.9979
0.5110 0.0220 0.9787
0.4890 0.9780 0.4787
0.3652 0.7305 0.0187
0.6996 0.3992 0.8578
0.4948 0.9896 0.7872
0.2881 0.5762 0.6514
0.9478 0.8956 0.5553
0.6348 0.2695 0.5187
0.3004 0.6008 0.3578
0.5052 0.0104 0.2872
0.7119 0.4238 0.1514
0.0522 0.1044 0.0553


no.,ΔE_f (raw) (eV/atom)
1,-1.117
2,-1.053
3,-1.106
4,-1.135
5,-0.911
6,-1.129